[1]
H5W | PBE | optimized geometry

Values from the calculation:
Crystal system   orthorhombic
Total moment   0.0 μB/f.u.
Raw total energy   -4.676 eV per atom
ρ   8.4 Mg/m³
Relative energy among the computed polymorphs   0.028 eV/atom

Cell lengths 6.037, 2.867, 4.334 Å; angles 90.00, 90.00, 90.00 degrees
Space group Pmma (No. 51)
Unique sites:
1 H 0.075 0.000 0.226 (multiplicity 4)
2 H 0.106 0.500 0.701 (multiplicity 4)
3 H 0.250 0.500 0.155 (multiplicity 2)
4 W 0.250 0.000 0.893 (multiplicity 2)


[2]
HW | PBE | optimized geometry

Values from the calculation:
Crystal system   orthorhombic
Total moment   0.0 μB/f.u.
Raw total energy   -7.863 eV per atom
ρ   16.1 Mg/m³
Relative energy among the computed polymorphs   0.152 eV/atom

Cell lengths 3.005, 8.943, 4.257 Å; angles 90.00, 90.00, 90.00 degrees
Space group Pmmn (No. 59, origin choice 2)
Unique sites:
1 H 0.250 0.081 0.010 (multiplicity 4)
2 H 0.250 0.750 0.487 (multiplicity 2)
3 W 0.250 0.250 0.755 (multiplicity 2)
4 W 0.250 0.581 0.729 (multiplicity 4)


[3]
HW | PBE | optimized geometry

Values from the calculation:
Crystal system   cubic
Total moment   0.0 μB/f.u.
Raw total energy   -7.398 eV per atom
ρ   13.4 Mg/m³
Relative energy among the computed polymorphs   0.617 eV/atom

Cell lengths 5.162, 5.162, 5.162 Å; angles 90.00, 90.00, 90.00 degrees
Space group Pm-3n (No. 223)
Unique sites:
1 H 0.000 0.250 0.500 (multiplicity 6)
2 W 0.000 0.500 0.250 (multiplicity 6)


What did the second record say?
HW | PBE | optimized geometry

Values from the calculation:
Crystal system   orthorhombic
Total moment   0.0 μB/f.u.
Raw total energy   -7.863 eV per atom
ρ   16.1 Mg/m³
Relative energy among the computed polymorphs   0.152 eV/atom

Cell lengths 3.005, 8.943, 4.257 Å; angles 90.00, 90.00, 90.00 degrees
Space group Pmmn (No. 59, origin choice 2)
Unique sites:
1 H 0.250 0.081 0.010 (multiplicity 4)
2 H 0.250 0.750 0.487 (multiplicity 2)
3 W 0.250 0.250 0.755 (multiplicity 2)
4 W 0.250 0.581 0.729 (multiplicity 4)